Computed, not measured: crystalline Pm2Al4ZnCu3 at its relaxed geometry at the PBE level of DFT.

DFT formation energy ... -417 meV/atom
Size of the total moment ... 0.0 μB per cell
Space group ... P-4m2 (115)
Crystal system ... tetragonal

abc: 4.239 4.239 10.211
angles: 90.00 90.00 90.00
Fractional positions:
Pm  0.000  0.500  0.248
Pm  0.500  0.000  0.752
Al  0.000  0.000  0.500
Al  0.000  0.500  0.864
Al  0.500  0.000  0.136
Al  0.500  0.500  0.500
Zn  0.500  0.500  0.000
Cu  0.000  0.000  0.000
Cu  0.000  0.500  0.628
Cu  0.500  0.000  0.372


Computed, not measured: crystalline K3SrTe2O9 at its relaxed geometry at the PBE level of DFT.

Size of the total moment ... 0.9 μB per cell
Space group ... P-3m1 (164)
Crystal system ... trigonal
Raw formation energy ... -1437 meV per atom

abc: 5.937 5.937 7.556
angles: 90.00 90.00 120.00
Fractional positions:
K  0.000  0.000  0.000
K  0.333  0.667  0.675
K  0.667  0.333  0.325
Sr  0.000  0.000  0.500
Te  0.333  0.667  0.159
Te  0.667  0.333  0.841
O  0.000  0.500  0.000
O  0.179  0.358  0.294
O  0.179  0.821  0.294
O  0.358  0.179  0.706
O  0.500  0.000  0.000
O  0.500  0.500  0.000
O  0.642  0.821  0.294
O  0.821  0.179  0.706
O  0.821  0.642  0.706


Computed, not measured: crystalline CoRu2Pt at its relaxed geometry at the PBE level of DFT.

DFT formation energy ... 49 meV/atom
Size of the total moment ... 1.4 μB per cell
Space group ... Pmm2 (25)
Crystal system ... orthorhombic

abc: 2.705 3.754 5.386
angles: 90.00 90.00 90.00
Fractional positions:
Co  0.000  0.000  0.000
Ru  0.000  0.000  0.524
Ru  0.500  0.500  0.757
Pt  0.500  0.500  0.246


Computed, not measured: crystalline Eu3Ag at its relaxed geometry at the PBE level of DFT.

DFT formation energy ... -30 meV/atom
Size of the total moment ... 22.5 μB per cell
Space group ... Pm-3m (221)
Crystal system ... cubic

abc: 5.106 5.106 5.106
angles: 90.00 90.00 90.00
Fractional positions:
Eu  0.000  0.000  0.500
Eu  0.000  0.500  0.000
Eu  0.500  0.000  0.000
Ag  0.500  0.500  0.500